[1]
Compound: Tb8Sn2Hg
Source: Alexandria
Functional: PBE-GGA
Structure: relaxed

Unit cell a=5.094 b=6.817 c=10.045 alpha=103.42 beta=104.69 gamma=90.00
Positions (direct):
1 Tb 0.344 0.000 0.688
2 Tb 0.020 0.771 0.039
3 Sn 0.181 0.758 0.363
4 Sn 0.819 0.242 0.637
5 Tb 0.656 0.000 0.312
6 Tb 0.980 0.229 0.961
7 Tb 0.593 0.478 0.187
8 Hg 0.500 0.000 0.000
9 Tb 0.785 0.677 0.569
10 Tb 0.407 0.522 0.813
11 Tb 0.215 0.323 0.431

Results
* energy: -0.164 Ha/atom
* SG: C2/m, No. 12
* magnetization: 0.000 μB per formula unit
* energy relative to the elements: -338 meV per atom

***

[2]
Compound: Er3Sn3Ru2
Source: Alexandria
Functional: PBE-GGA
Structure: relaxed

Unit cell a=5.830 b=8.317 c=15.139 alpha=90.00 beta=90.00 gamma=90.00
Positions (direct):
1 Sn 0.402 0.681 0.534
2 Ru 0.356 0.400 0.887
3 Er 0.600 0.034 0.612
4 Sn 0.598 0.319 0.466
5 Sn 0.098 0.181 0.966
6 Ru 0.356 0.400 0.613
7 Sn 0.402 0.681 0.966
8 Er 0.600 0.034 0.888
9 Sn 0.866 0.826 0.750
10 Sn 0.134 0.174 0.250
11 Ru 0.644 0.600 0.113
12 Sn 0.598 0.319 0.034
13 Ru 0.644 0.600 0.387
14 Er 0.100 0.466 0.388
15 Er 0.400 0.966 0.388
16 Ru 0.144 0.900 0.613
17 Er 0.367 0.675 0.750
18 Er 0.900 0.534 0.612
19 Er 0.867 0.825 0.250
20 Sn 0.098 0.181 0.534
21 Er 0.900 0.534 0.888
22 Er 0.633 0.325 0.250
23 Er 0.400 0.966 0.112
24 Er 0.100 0.466 0.112
25 Ru 0.856 0.100 0.113
26 Ru 0.856 0.100 0.387
27 Sn 0.902 0.819 0.034
28 Ru 0.144 0.900 0.887
29 Sn 0.902 0.819 0.466
30 Sn 0.634 0.326 0.750
31 Sn 0.366 0.674 0.250
32 Er 0.133 0.175 0.750

Results
* energy: -0.223 Ha/atom
* SG: Pnma, No. 62
* magnetization: 0.000 μB per formula unit
* energy relative to the elements: -540 meV per atom

***

[3]
Compound: SiMoN2
Source: Alexandria
Functional: PBE-GGA
Structure: relaxed

Unit cell a=6.370 b=6.370 c=6.370 alpha=26.07 beta=26.07 gamma=26.07
Positions (direct):
1 Mo 0.500 0.500 0.500
2 N 0.904 0.904 0.904
3 Si 0.000 0.000 0.000
4 N 0.096 0.096 0.096

Results
* energy: -0.309 Ha/atom
* uncorrected formation energy: -75 kJ/mol of formula units
* SG: R-3m, No. 166
* magnetization: 0.000 μB per formula unit

***

[4]
Compound: TbDy2Er4Tm2
Source: Alexandria
Functional: PBE-GGA
Structure: relaxed

Unit cell a=3.541 b=9.366 c=9.397 alpha=115.28 beta=90.00 gamma=100.90
Positions (direct):
1 Er 0.185 0.371 0.334
2 Dy 0.148 0.296 0.666
3 Er 0.519 0.037 0.334
4 Dy 0.852 0.704 0.334
5 Tm 0.333 0.666 0.999
6 Tm 0.667 0.334 0.001
7 Tb 0.000 0.000 0.000
8 Er 0.481 0.963 0.666
9 Er 0.815 0.629 0.666

Results
* energy: -0.167 Ha/atom
* SG: C2/m, No. 12
* magnetization: 0.000 μB per formula unit
* energy relative to the elements: 1 meV per atom

***

[5]
Compound: BaCaRu2
Source: Alexandria
Functional: PBE-GGA
Structure: relaxed

Unit cell a=8.134 b=8.134 c=6.478 alpha=51.11 beta=51.11 gamma=90.00
Last column: magnetic moment on the atom in μB.
Positions (direct):
1 Ru 0.875 0.861 0.750  1.29
2 Ca 0.250 0.750 0.500  -0.02
3 Ru 0.611 0.125 0.250  1.29
4 Ba 0.000 0.000 0.000  -0.04
5 Ru 0.375 0.389 0.750  1.29
6 Ru 0.139 0.625 0.250  1.29
7 Ca 0.500 0.500 0.000  -0.02
8 Ba 0.750 0.250 0.500  -0.04

Results
* energy: -0.168 Ha/atom
* SG: I-42d, No. 122
* magnetization: 2.577 μB per formula unit
* energy relative to the elements: 1040 meV per atom

***

[6]
Compound: CsZrIrPb2
Source: Alexandria
Functional: PBE-GGA
Structure: relaxed

Unit cell a=5.852 b=5.018 c=5.852 alpha=90.00 beta=90.00 gamma=90.00
Positions (direct):
1 Cs 0.500 0.500 0.500
2 Zr 0.000 0.000 0.000
3 Pb 0.500 0.000 0.000
4 Ir 0.000 0.500 0.000
5 Pb 0.000 0.000 0.500

Results
* energy: -0.173 Ha/atom
* SG: P4/mmm, No. 123
* magnetization: 0.000 μB per formula unit
* energy relative to the elements: 420 meV per atom

***

[7]
Compound: Al3Tl
Source: Alexandria
Functional: PBE-GGA
Structure: relaxed

Unit cell a=5.562 b=5.562 c=5.562 alpha=90.00 beta=90.00 gamma=90.00
Positions (direct):
1 Al 0.000 0.500 0.000
2 Al 0.500 0.000 0.000
3 Al 0.000 0.000 0.500
4 Tl 0.000 0.000 0.000

Results
* energy: -0.078 Ha/atom
* SG: Pm-3m, No. 221
* magnetization: 0.000 μB per formula unit
* energy relative to the elements: 1273 meV per atom

***

[8]
Compound: ReGe6Rh3
Source: Alexandria
Functional: PBE-GGA
Structure: relaxed

Unit cell a=6.388 b=6.399 c=8.567 alpha=90.00 beta=106.04 gamma=90.00
Positions (direct):
1 Rh 0.537 0.855 0.745
2 Ge 0.702 0.488 0.289
3 Ge 0.161 0.361 0.069
4 Ge 0.298 0.512 0.711
5 Ge 0.348 0.807 0.100
6 Ge 0.661 0.139 0.569
7 Rh 0.500 0.500 0.000
8 Rh 0.000 0.000 0.500
9 Ge 0.839 0.639 0.931
10 Rh 0.963 0.355 0.755
11 Re 0.000 0.000 0.000
12 Rh 0.463 0.145 0.255
13 Ge 0.339 0.861 0.431
14 Ge 0.848 0.693 0.600
15 Ge 0.202 0.012 0.789
16 Rh 0.037 0.645 0.245
17 Ge 0.652 0.193 0.900
18 Re 0.500 0.500 0.500
19 Ge 0.152 0.307 0.400
20 Ge 0.798 0.988 0.211

Results
* energy: -0.235 Ha/atom
* SG: P2_1/c, No. 14
* magnetization: 0.000 μB per formula unit
* energy relative to the elements: -167 meV per atom

***

[9]
Compound: TbTh2Si3Ir4
Source: Alexandria
Functional: PBE-GGA
Structure: relaxed

Unit cell a=4.124 b=4.124 c=11.274 alpha=90.00 beta=90.00 gamma=90.00
Positions (direct):
1 Si 0.000 0.500 0.117
2 Th 0.000 0.500 0.770
3 Th 0.500 0.000 0.230
4 Ir 0.000 0.000 0.000
5 Ir 0.500 0.000 0.671
6 Tb 0.500 0.500 0.500
7 Si 0.000 0.000 0.500
8 Ir 0.500 0.500 0.000
9 Si 0.500 0.000 0.883
10 Ir 0.000 0.500 0.329

Results
* energy: -0.297 Ha/atom
* uncorrected formation energy: -940 kJ/mol of formula units
* SG: P-4m2, No. 115
* magnetization: 0.000 μB per formula unit

***

[10]
Compound: Y2HfThP4
Source: Alexandria
Functional: PBE-GGA
Structure: relaxed

Unit cell a=3.969 b=6.870 c=6.878 alpha=109.38 beta=90.00 gamma=90.00
Positions (direct):
1 P 0.000 0.764 0.248
2 Th 0.500 0.500 0.000
3 Y 0.000 0.500 0.500
4 Hf 0.000 0.000 0.000
5 P 0.500 0.233 0.238
6 P 0.500 0.767 0.762
7 Y 0.500 0.000 0.500
8 P 0.000 0.236 0.752

Results
* energy: -0.293 Ha/atom
* SG: P2/m, No. 10
* magnetization: 0.000 μB per formula unit
* energy relative to the elements: -1479 meV per atom

***

[11]
Compound: IOF2
Source: Alexandria
Functional: PBE-GGA
Structure: relaxed

Unit cell a=5.451 b=6.951 c=10.022 alpha=90.25 beta=89.73 gamma=76.63
Last column: magnetic moment on the atom in μB.
Positions (direct):
1 F 0.186 0.969 0.384  0.12
2 F 0.696 0.963 0.903  0.02
3 O 0.272 0.896 0.786  0.21
4 F 0.307 0.536 0.902  0.02
5 I 0.501 0.749 0.900  0.03
6 F 0.814 0.031 0.616  0.12
7 O 0.732 0.603 0.784  0.21
8 I 0.004 0.750 0.623  0.85
9 F 0.693 0.464 0.098  0.02
10 O 0.728 0.104 0.214  0.21
11 F 0.304 0.037 0.097  0.02
12 F 0.194 0.469 0.613  0.12
13 O 0.268 0.397 0.216  0.21
14 F 0.806 0.531 0.387  0.12
15 I 0.996 0.250 0.377  0.85
16 I 0.499 0.251 0.100  0.03

Results
* energy: -0.125 Ha/atom
* uncorrected formation energy: -328 kJ/mol of formula units
* SG: P-1, No. 2
* magnetization: 1.012 μB per formula unit

***

[12]
Compound: Gd3TlO
Source: Alexandria
Functional: PBE-GGA
Structure: relaxed

Unit cell a=4.862 b=4.862 c=4.862 alpha=90.00 beta=90.00 gamma=90.00
Last column: magnetic moment on the atom in μB.
Positions (direct):
1 Gd 0.000 0.500 0.000  7.00
2 Gd 0.000 0.000 0.500  7.00
3 O 0.000 0.000 0.000  -0.03
4 Tl 0.500 0.500 0.500  -0.06
5 Gd 0.500 0.000 0.000  7.00

Results
* energy: -0.414 Ha/atom
* uncorrected formation energy: -648 kJ/mol of formula units
* SG: Pm-3m, No. 221
* magnetization: 21.179 μB per formula unit

***

[13]
Compound: Ac2In3Si
Source: Alexandria
Functional: PBE-GGA
Structure: relaxed

Unit cell a=4.638 b=4.751 c=8.137 alpha=90.00 beta=90.00 gamma=90.00
Positions (direct):
1 In 0.500 0.500 0.656
2 Si 0.500 0.500 0.331
3 In 0.500 0.000 0.176
4 In 0.500 0.000 0.831
5 Ac 0.000 0.000 0.489
6 Ac 0.000 0.500 0.017

Results
* energy: -0.150 Ha/atom
* uncorrected formation energy: -253 kJ/mol of formula units
* SG: Pmm2, No. 25
* magnetization: 0.000 μB per formula unit

***

[14]
Compound: ReAg2Br6
Source: Alexandria
Functional: PBE-GGA
Structure: relaxed

Unit cell a=7.035 b=6.586 c=11.672 alpha=90.00 beta=89.99 gamma=90.00
Last column: magnetic moment on the atom in μB.
Positions (direct):
1 Br 0.341 0.717 0.847  0.04
2 Br 0.711 0.226 0.500  0.06
3 Br 0.841 0.783 0.347  0.04
4 Br 0.789 0.726 0.000  0.06
5 Ag 0.500 0.000 0.314  0.03
6 Br 0.159 0.218 0.347  0.04
7 Br 0.341 0.718 0.153  0.04
8 Br 0.841 0.782 0.653  0.04
9 Ag 0.000 0.500 0.186  0.03
10 Br 0.289 0.774 0.500  0.06
11 Re 0.500 0.500 0.000  2.18
12 Br 0.659 0.282 0.847  0.04
13 Re 0.000 0.000 0.500  2.18
14 Br 0.159 0.217 0.653  0.04
15 Br 0.659 0.283 0.153  0.04
16 Br 0.211 0.274 0.000  0.06
17 Ag 0.500 0.000 0.686  0.03
18 Ag 0.000 0.500 0.814  0.03

Results
* energy: -0.125 Ha/atom
* uncorrected formation energy: -242 kJ/mol of formula units
* SG: Pnnm, No. 58
* magnetization: 2.982 μB per formula unit

***

[15]
Compound: Pm2PrDy4Th
Source: Alexandria
Functional: PBE-GGA
Structure: relaxed

Unit cell a=5.127 b=5.106 c=11.262 alpha=63.04 beta=90.00 gamma=90.00
Positions (direct):
1 Dy 0.000 0.244 0.256
2 Dy 0.500 0.256 0.744
3 Pr 0.500 0.500 0.000
4 Dy 0.000 0.756 0.744
5 Pm 0.000 0.000 0.000
6 Pm 0.500 0.000 0.500
7 Dy 0.500 0.744 0.256
8 Th 0.000 0.500 0.500

Results
* energy: -0.183 Ha/atom
* SG: Pmmm, No. 47
* magnetization: 0.000 μB per formula unit
* energy relative to the elements: 29 meV per atom

***

[16]
Compound: K4Pr3YTe8
Source: Alexandria
Functional: PBE-GGA
Structure: relaxed

Unit cell a=9.226 b=9.831 c=9.226 alpha=118.01 beta=120.00 gamma=90.00
Positions (direct):
1 K 0.500 0.000 0.000
2 Te 0.234 0.713 0.980
3 Pr 0.500 0.500 0.500
4 Te 0.234 0.713 0.468
5 Te 0.261 0.283 0.522
6 Te 0.766 0.287 0.020
7 Te 0.739 0.717 0.478
8 Pr 0.500 0.500 0.000
9 Y 0.000 0.500 0.000
10 Pr 0.000 0.500 0.500
11 K 0.000 0.000 0.000
12 Te 0.254 0.287 0.020
13 Te 0.746 0.713 0.980
14 Te 0.766 0.287 0.532
15 K 0.000 0.000 0.500
16 K 0.500 0.000 0.500

Results
* energy: -0.168 Ha/atom
* uncorrected formation energy: -2185 kJ/mol of formula units
* SG: R-3m, No. 166
* magnetization: 0.000 μB per formula unit

***

[17]
Compound: Tb2InPt
Source: Alexandria
Functional: PBE-GGA
Structure: relaxed

Unit cell a=3.530 b=3.530 c=7.811 alpha=90.00 beta=90.00 gamma=90.00
Positions (direct):
1 Pt 0.500 0.500 0.000
2 Tb 0.000 0.000 0.781
3 In 0.500 0.500 0.500
4 Tb 0.000 0.000 0.219

Results
* energy: -0.197 Ha/atom
* SG: P4/mmm, No. 123
* magnetization: 0.000 μB per formula unit
* energy relative to the elements: -846 meV per atom

***

[18]
Compound: Nd4TeSeS2
Source: Alexandria
Functional: PBE-GGA
Structure: relaxed

Unit cell a=4.173 b=7.396 c=7.307 alpha=71.11 beta=90.00 gamma=90.00
Positions (direct):
1 Nd 0.000 0.213 0.272
2 Nd 0.500 0.780 0.251
3 S 0.000 0.000 0.000
4 S 0.500 0.000 0.500
5 Se 0.000 0.500 0.500
6 Nd 0.500 0.220 0.749
7 Nd 0.000 0.787 0.728
8 Te 0.500 0.500 0.000

Results
* energy: -0.223 Ha/atom
* uncorrected formation energy: -1410 kJ/mol of formula units
* SG: P2/m, No. 10
* magnetization: 0.000 μB per formula unit

***

[19]
Compound: Sn2PdBr
Source: Alexandria
Functional: PBE-GGA
Structure: relaxed

Unit cell a=5.093 b=5.093 c=5.093 alpha=60.00 beta=60.00 gamma=60.00
Positions (direct):
1 Br 0.000 0.000 0.000
2 Sn 0.250 0.250 0.250
3 Pd 0.500 0.500 0.500
4 Sn 0.750 0.750 0.750

Results
* energy: -0.136 Ha/atom
* uncorrected formation energy: 4 kJ/mol of formula units
* SG: Fm-3m, No. 225
* magnetization: 0.000 μB per formula unit

***

[20]
Compound: BaScTc2
Source: Alexandria
Functional: PBE-GGA
Structure: relaxed

Unit cell a=5.605 b=5.538 c=3.113 alpha=76.74 beta=84.12 gamma=118.51
Positions (direct):
1 Tc 0.000 0.000 0.000
2 Sc 0.500 0.500 0.000
3 Tc 0.500 0.000 0.500
4 Ba 0.000 0.500 0.500

Results
* energy: -0.233 Ha/atom
* SG: C2/m, No. 12
* magnetization: 0.000 μB per formula unit
* energy relative to the elements: 905 meV per atom